<1>
# Cr3Os4, relaxed, DFT GGA-PBE
data_Cr3Os4
_chemical_formula_sum 'Cr6 Os8'
_cell_length_a 2.7525
_cell_length_b 2.7525
_cell_length_c 24.5348
_cell_angle_alpha 90.00
_cell_angle_beta 90.00
_cell_angle_gamma 90.00
_symmetry_space_group_name_H-M 'P 1'
_symmetry_Int_Tables_number 1
loop_
_symmetry_equiv_pos_as_xyz
'x,y,z'
loop_
_atom_site_label
_atom_site_fract_x
_atom_site_fract_y
_atom_site_fract_z
_atom_site_occupancy
Cr1 0.0000 0.0000 0.0000 1
Cr2 0.0000 0.0000 0.2780 1
Cr3 0.0000 0.0000 0.7220 1
Cr4 0.5000 0.5000 0.2220 1
Cr5 0.5000 0.5000 0.5000 1
Cr6 0.5000 0.5000 0.7780 1
Os1 0.0000 0.0000 0.1524 1
Os2 0.0000 0.0000 0.4276 1
Os3 0.0000 0.0000 0.5724 1
Os4 0.0000 0.0000 0.8476 1
Os5 0.5000 0.5000 0.0724 1
Os6 0.5000 0.5000 0.3476 1
Os7 0.5000 0.5000 0.6524 1
Os8 0.5000 0.5000 0.9276 1
# Total magnetic moment ... 0.0 μB per formula unit
# DOS at the Fermi energy ... 8.2 states/eV/f.u.
# Symmetry ... I4/mmm (139)

***

<2>
# Cr3Os4, relaxed, DFT GGA-PBE
data_Cr3Os4
_chemical_formula_sum 'Cr3 Os4'
_cell_length_a 4.6398
_cell_length_b 4.6398
_cell_length_c 4.9749
_cell_angle_alpha 90.00
_cell_angle_beta 90.00
_cell_angle_gamma 120.00
_symmetry_space_group_name_H-M 'P 1'
_symmetry_Int_Tables_number 1
loop_
_symmetry_equiv_pos_as_xyz
'x,y,z'
loop_
_atom_site_label
_atom_site_fract_x
_atom_site_fract_y
_atom_site_fract_z
_atom_site_occupancy
Cr1 0.0000 0.5000 0.0000 1
Cr2 0.5000 0.0000 0.0000 1
Cr3 0.5000 0.5000 0.0000 1
Os1 0.0000 0.0000 0.2551 1
Os2 0.0000 0.0000 0.7449 1
Os3 0.3333 0.6667 0.5000 1
Os4 0.6667 0.3333 0.5000 1
# Total magnetic moment ... 0.0 μB per formula unit
# DOS at the Fermi energy ... 9.3 states/eV/f.u.
# Symmetry ... P6/mmm (191)

***

The data favor <2>; the next most stable structure lies 27 meV per atom above it.

***

<1>
# Cr4Os5, relaxed, DFT GGA-PBE
data_Cr4Os5
_chemical_formula_sum 'Cr4 Os5'
_cell_length_a 5.9609
_cell_length_b 5.9609
_cell_length_c 5.9609
_cell_angle_alpha 95.78
_cell_angle_beta 95.78
_cell_angle_gamma 143.00
_symmetry_space_group_name_H-M 'P 1'
_symmetry_Int_Tables_number 1
loop_
_symmetry_equiv_pos_as_xyz
'x,y,z'
loop_
_atom_site_label
_atom_site_fract_x
_atom_site_fract_y
_atom_site_fract_z
_atom_site_occupancy
Cr1 0.0000 0.3314 0.3314 1
Cr2 0.0000 0.6686 0.6686 1
Cr3 0.3314 0.0000 0.3314 1
Cr4 0.6686 0.0000 0.6686 1
Os1 0.0000 0.0000 0.0000 1
Os2 0.3319 0.3319 0.6638 1
Os3 0.3319 0.6681 0.0000 1
Os4 0.6681 0.3319 0.0000 1
Os5 0.6681 0.6681 0.3362 1
# Total magnetic moment ... 0.0 μB per formula unit
# DOS at the Fermi energy ... 12.8 states/eV/f.u.
# Symmetry ... I4/mmm (139)

***

<2>
# Cr4Os5, relaxed, DFT GGA-PBE
data_Cr4Os5
_chemical_formula_sum 'Cr8 Os10'
_cell_length_a 7.2495
_cell_length_b 7.2495
_cell_length_c 5.2989
_cell_angle_alpha 90.00
_cell_angle_beta 90.00
_cell_angle_gamma 120.00
_symmetry_space_group_name_H-M 'P 1'
_symmetry_Int_Tables_number 1
loop_
_symmetry_equiv_pos_as_xyz
'x,y,z'
loop_
_atom_site_label
_atom_site_fract_x
_atom_site_fract_y
_atom_site_fract_z
_atom_site_occupancy
Cr1 0.0000 0.0000 0.0000 1
Cr2 0.0000 0.0000 0.5000 1
Cr3 0.0000 0.3372 0.2500 1
Cr4 0.0000 0.6628 0.7500 1
Cr5 0.3372 0.0000 0.2500 1
Cr6 0.3372 0.3372 0.7500 1
Cr7 0.6628 0.0000 0.7500 1
Cr8 0.6628 0.6628 0.2500 1
Os1 0.0000 0.3247 0.7500 1
Os2 0.0000 0.6753 0.2500 1
Os3 0.3247 0.0000 0.7500 1
Os4 0.3247 0.3247 0.2500 1
Os5 0.3333 0.6667 0.0000 1
Os6 0.3333 0.6667 0.5000 1
Os7 0.6667 0.3333 0.0000 1
Os8 0.6667 0.3333 0.5000 1
Os9 0.6753 0.0000 0.2500 1
Os10 0.6753 0.6753 0.7500 1
# Total magnetic moment ... 0.0 μB per formula unit
# DOS at the Fermi energy ... 9.1 states/eV/f.u.
# Symmetry ... P6_3/mcm (193)

***

The data favor <1>; the next most stable structure lies 6 meV per atom above it.

***

<1>
# Cr2Os3, relaxed, DFT GGA-PBE
data_Cr2Os3
_chemical_formula_sum 'Cr2 Os3'
_cell_length_a 4.0645
_cell_length_b 4.0645
_cell_length_c 5.0887
_cell_angle_alpha 90.00
_cell_angle_beta 90.00
_cell_angle_gamma 120.00
_symmetry_space_group_name_H-M 'P 1'
_symmetry_Int_Tables_number 1
loop_
_symmetry_equiv_pos_as_xyz
'x,y,z'
loop_
_atom_site_label
_atom_site_fract_x
_atom_site_fract_y
_atom_site_fract_z
_atom_site_occupancy
Cr1 0.3333 0.6667 0.3191 1
Cr2 0.6667 0.3333 0.6809 1
Os1 0.0000 0.0000 0.5000 1
Os2 0.3333 0.6667 0.8445 1
Os3 0.6667 0.3333 0.1555 1
# Total magnetic moment ... 0.0 μB per formula unit
# DOS at the Fermi energy ... 3.1 states/eV/f.u.
# Symmetry ... P-3m1 (164)

***

<2>
# Cr2Os3, relaxed, DFT GGA-PBE
data_Cr2Os3
_chemical_formula_sum 'Cr4 Os6'
_cell_length_a 6.7632
_cell_length_b 5.1045
_cell_length_c 7.7871
_cell_angle_alpha 58.99
_cell_angle_beta 40.31
_cell_angle_gamma 80.70
_symmetry_space_group_name_H-M 'P 1'
_symmetry_Int_Tables_number 1
loop_
_symmetry_equiv_pos_as_xyz
'x,y,z'
loop_
_atom_site_label
_atom_site_fract_x
_atom_site_fract_y
_atom_site_fract_z
_atom_site_occupancy
Cr1 0.2690 0.7310 0.3303 1
Cr2 0.5803 0.9197 0.5190 1
Cr3 0.7310 0.2690 0.6697 1
Cr4 0.9197 0.5803 0.9810 1
Os1 0.1187 0.8074 0.0779 1
Os2 0.1721 0.2540 0.1313 1
Os3 0.2540 0.1721 0.4426 1
Os4 0.4532 0.4532 0.5468 1
Os5 0.7032 0.7032 0.7968 1
Os6 0.8074 0.1187 0.9960 1
# Total magnetic moment ... 0.0 μB per formula unit
# DOS at the Fermi energy ... 3.8 states/eV/f.u.
# Symmetry ... Fdd2 (43)

***

<3>
# Cr2Os3, relaxed, DFT GGA-PBE
data_Cr2Os3
_chemical_formula_sum 'Cr6 Os9'
_cell_length_a 2.6854
_cell_length_b 2.6854
_cell_length_c 32.5046
_cell_angle_alpha 90.00
_cell_angle_beta 90.00
_cell_angle_gamma 120.00
_symmetry_space_group_name_H-M 'P 1'
_symmetry_Int_Tables_number 1
loop_
_symmetry_equiv_pos_as_xyz
'x,y,z'
loop_
_atom_site_label
_atom_site_fract_x
_atom_site_fract_y
_atom_site_fract_z
_atom_site_occupancy
Cr1 0.0000 0.0000 0.1002 1
Cr2 0.0000 0.0000 0.8998 1
Cr3 0.3333 0.6667 0.5665 1
Cr4 0.3333 0.6667 0.7668 1
Cr5 0.6667 0.3333 0.2332 1
Cr6 0.6667 0.3333 0.4335 1
Os1 0.0000 0.0000 0.2965 1
Os2 0.0000 0.0000 0.5000 1
Os3 0.0000 0.0000 0.7035 1
Os4 0.3333 0.6667 0.1667 1
Os5 0.3333 0.6667 0.3702 1
Os6 0.3333 0.6667 0.9632 1
Os7 0.6667 0.3333 0.0368 1
Os8 0.6667 0.3333 0.6298 1
Os9 0.6667 0.3333 0.8333 1
# Total magnetic moment ... 0.0 μB per formula unit
# DOS at the Fermi energy ... 5.2 states/eV/f.u.
# Symmetry ... R-3m (166)

***

The data favor <2>; the next most stable structure lies 39 meV per atom above it.

***

<1>
# CrOs4, relaxed, DFT GGA-PBE
data_CrOs4
_chemical_formula_sum 'Cr1 Os4'
_cell_length_a 4.3648
_cell_length_b 4.3648
_cell_length_c 4.3648
_cell_angle_alpha 90.00
_cell_angle_beta 90.00
_cell_angle_gamma 90.00
_symmetry_space_group_name_H-M 'P 1'
_symmetry_Int_Tables_number 1
loop_
_symmetry_equiv_pos_as_xyz
'x,y,z'
loop_
_atom_site_label
_atom_site_fract_x
_atom_site_fract_y
_atom_site_fract_z
_atom_site_occupancy
Cr1 0.0000 0.0000 0.0000 1
Os1 0.0000 0.0000 0.5000 1
Os2 0.0000 0.5000 0.0000 1
Os3 0.5000 0.0000 0.0000 1
Os4 0.5000 0.5000 0.5000 1
# Total magnetic moment ... 0.0 μB per formula unit
# DOS at the Fermi energy ... 6.4 states/eV/f.u.
# Symmetry ... Pm-3m (221)

***

<2>
# CrOs4, relaxed, DFT GGA-PBE
data_CrOs4
_chemical_formula_sum 'Cr2 Os8'
_cell_length_a 5.5009
_cell_length_b 5.5009
_cell_length_c 5.5009
_cell_angle_alpha 90.00
_cell_angle_beta 90.00
_cell_angle_gamma 90.00
_symmetry_space_group_name_H-M 'P 1'
_symmetry_Int_Tables_number 1
loop_
_symmetry_equiv_pos_as_xyz
'x,y,z'
loop_
_atom_site_label
_atom_site_fract_x
_atom_site_fract_y
_atom_site_fract_z
_atom_site_occupancy
Cr1 0.0000 0.0000 0.0000 1
Cr2 0.5000 0.5000 0.5000 1
Os1 0.2500 0.2500 0.2500 1
Os2 0.2500 0.2500 0.7500 1
Os3 0.2500 0.7500 0.2500 1
Os4 0.2500 0.7500 0.7500 1
Os5 0.7500 0.2500 0.2500 1
Os6 0.7500 0.2500 0.7500 1
Os7 0.7500 0.7500 0.2500 1
Os8 0.7500 0.7500 0.7500 1
# Total magnetic moment ... 0.0 μB per formula unit
# DOS at the Fermi energy ... 8.7 states/eV/f.u.
# Symmetry ... Im-3m (229)

***

The data favor <2>; the next most stable structure lies 599 meV per atom above it.

***

<1>
# CrP2Os, relaxed, DFT GGA-PBE
data_CrP2Os
_chemical_formula_sum 'Cr4 P8 Os4'
_cell_length_a 5.2172
_cell_length_b 5.2172
_cell_length_c 10.8058
_cell_angle_alpha 90.00
_cell_angle_beta 90.00
_cell_angle_gamma 90.00
_symmetry_space_group_name_H-M 'P 1'
_symmetry_Int_Tables_number 1
loop_
_symmetry_equiv_pos_as_xyz
'x,y,z'
loop_
_atom_site_label
_atom_site_fract_x
_atom_site_fract_y
_atom_site_fract_z
_atom_site_occupancy
Cr1 0.0000 0.0000 0.0000 1
Cr2 0.0000 0.5000 0.2500 1
Cr3 0.5000 0.0000 0.7500 1
Cr4 0.5000 0.5000 0.5000 1
P1 0.2412 0.2500 0.6250 1
P2 0.2500 0.7412 0.8750 1
P3 0.2500 0.7588 0.3750 1
P4 0.2588 0.2500 0.1250 1
P5 0.7412 0.7500 0.1250 1
P6 0.7500 0.2412 0.3750 1
P7 0.7500 0.2588 0.8750 1
P8 0.7588 0.7500 0.6250 1
Os1 0.0000 0.0000 0.5000 1
Os2 0.0000 0.5000 0.7500 1
Os3 0.5000 0.0000 0.2500 1
Os4 0.5000 0.5000 0.0000 1
# Total magnetic moment ... 2.4 μB per formula unit
# DOS at the Fermi energy ... 2.3 states/eV/f.u.
# Symmetry ... I-42d (122)

***

<2>
# CrP2Os, relaxed, DFT GGA-PBE
data_CrP2Os
_chemical_formula_sum 'Cr1 P2 Os1'
_cell_length_a 3.0354
_cell_length_b 3.0354
_cell_length_c 5.5002
_cell_angle_alpha 90.00
_cell_angle_beta 90.00
_cell_angle_gamma 90.00
_symmetry_space_group_name_H-M 'P 1'
_symmetry_Int_Tables_number 1
loop_
_symmetry_equiv_pos_as_xyz
'x,y,z'
loop_
_atom_site_label
_atom_site_fract_x
_atom_site_fract_y
_atom_site_fract_z
_atom_site_occupancy
Cr1 0.0000 0.0000 0.0000 1
P1 0.0000 0.0000 0.5745 1
P2 0.5000 0.5000 0.8648 1
Os1 0.5000 0.5000 0.3746 1
# Total magnetic moment ... 0.0 μB per formula unit
# DOS at the Fermi energy ... 2.1 states/eV/f.u.
# Symmetry ... P4mm (99)

***

The data favor <2>; the next most stable structure lies 206 meV per atom above it.

***

<1>
# CrP2Os, relaxed, DFT GGA-PBE
data_CrP2Os
_chemical_formula_sum 'Cr3 P6 Os3'
_cell_length_a 2.9267
_cell_length_b 2.9267
_cell_length_c 21.5925
_cell_angle_alpha 90.00
_cell_angle_beta 90.00
_cell_angle_gamma 120.00
_symmetry_space_group_name_H-M 'P 1'
_symmetry_Int_Tables_number 1
loop_
_symmetry_equiv_pos_as_xyz
'x,y,z'
loop_
_atom_site_label
_atom_site_fract_x
_atom_site_fract_y
_atom_site_fract_z
_atom_site_occupancy
Cr1 0.0000 0.0000 0.0000 1
Cr2 0.3333 0.6667 0.6667 1
Cr3 0.6667 0.3333 0.3333 1
P1 0.0000 0.0000 0.2625 1
P2 0.0000 0.0000 0.5075 1
P3 0.3333 0.6667 0.1742 1
P4 0.3333 0.6667 0.9292 1
P5 0.6667 0.3333 0.5958 1
P6 0.6667 0.3333 0.8408 1
Os1 0.0000 0.0000 0.7650 1
Os2 0.3333 0.6667 0.4317 1
Os3 0.6667 0.3333 0.0984 1
# Total magnetic moment ... 0.0 μB per formula unit
# DOS at the Fermi energy ... 3.5 states/eV/f.u.
# Symmetry ... R3m (160)

***

<2>
# CrP2Os, relaxed, DFT GGA-PBE
data_CrP2Os
_chemical_formula_sum 'Cr1 P2 Os1'
_cell_length_a 2.9212
_cell_length_b 4.2381
_cell_length_c 4.0799
_cell_angle_alpha 90.00
_cell_angle_beta 90.00
_cell_angle_gamma 90.00
_symmetry_space_group_name_H-M 'P 1'
_symmetry_Int_Tables_number 1
loop_
_symmetry_equiv_pos_as_xyz
'x,y,z'
loop_
_atom_site_label
_atom_site_fract_x
_atom_site_fract_y
_atom_site_fract_z
_atom_site_occupancy
Cr1 0.0000 0.0000 0.0000 1
P1 0.0000 0.5000 0.2451 1
P2 0.5000 0.0000 0.4751 1
Os1 0.5000 0.5000 0.7447 1
# Total magnetic moment ... 0.0 μB per formula unit
# DOS at the Fermi energy ... 2.1 states/eV/f.u.
# Symmetry ... Pmm2 (25)

***

<3>
# CrP2Os, relaxed, DFT GGA-PBE
data_CrP2Os
_chemical_formula_sum 'Cr4 P8 Os4'
_cell_length_a 5.7888
_cell_length_b 5.7888
_cell_length_c 5.7888
_cell_angle_alpha 90.00
_cell_angle_beta 90.00
_cell_angle_gamma 90.00
_symmetry_space_group_name_H-M 'P 1'
_symmetry_Int_Tables_number 1
loop_
_symmetry_equiv_pos_as_xyz
'x,y,z'
loop_
_atom_site_label
_atom_site_fract_x
_atom_site_fract_y
_atom_site_fract_z
_atom_site_occupancy
Cr1 0.0000 0.0000 0.0000 1
Cr2 0.0000 0.5000 0.5000 1
Cr3 0.5000 0.0000 0.5000 1
Cr4 0.5000 0.5000 0.0000 1
P1 0.2500 0.2500 0.2500 1
P2 0.2500 0.2500 0.7500 1
P3 0.2500 0.7500 0.2500 1
P4 0.2500 0.7500 0.7500 1
P5 0.7500 0.2500 0.2500 1
P6 0.7500 0.2500 0.7500 1
P7 0.7500 0.7500 0.2500 1
P8 0.7500 0.7500 0.7500 1
Os1 0.0000 0.0000 0.5000 1
Os2 0.0000 0.5000 0.0000 1
Os3 0.5000 0.0000 0.0000 1
Os4 0.5000 0.5000 0.5000 1
# Total magnetic moment ... 0.0 μB per formula unit
# DOS at the Fermi energy ... 2.4 states/eV/f.u.
# Symmetry ... Fm-3m (225)

***

<4>
# CrP2Os, relaxed, DFT GGA-PBE
data_CrP2Os
_chemical_formula_sum 'Cr3 P6 Os3'
_cell_length_a 2.8595
_cell_length_b 2.8595
_cell_length_c 21.6101
_cell_angle_alpha 90.00
_cell_angle_beta 90.00
_cell_angle_gamma 120.00
_symmetry_space_group_name_H-M 'P 1'
_symmetry_Int_Tables_number 1
loop_
_symmetry_equiv_pos_as_xyz
'x,y,z'
loop_
_atom_site_label
_atom_site_fract_x
_atom_site_fract_y
_atom_site_fract_z
_atom_site_occupancy
Cr1 0.0000 0.0000 0.0000 1
Cr2 0.3333 0.6667 0.6667 1
Cr3 0.6667 0.3333 0.3333 1
P1 0.0000 0.0000 0.2536 1
P2 0.0000 0.0000 0.7464 1
P3 0.3333 0.6667 0.4131 1
P4 0.3333 0.6667 0.9203 1
P5 0.6667 0.3333 0.0797 1
P6 0.6667 0.3333 0.5869 1
Os1 0.0000 0.0000 0.5000 1
Os2 0.3333 0.6667 0.1667 1
Os3 0.6667 0.3333 0.8333 1
# Total magnetic moment ... 1.1 μB per formula unit
# DOS at the Fermi energy ... 3.5 states/eV/f.u.
# Symmetry ... R-3m (166)

***

The data favor <2>; the next most stable structure lies 65 meV per atom above it.